Record 1
Below is a geometry-optimized ZrHgAu structure, with properties calculated at the PBE level.

Cell lengths 6.3285, 6.3285, 3.2332 Å; angles 75.20, 75.20, 29.60 degrees
Fractional coordinates of all 3 atoms:
Hg: 0.3359 0.3359 0.6641
Au: 0.0044 0.0044 0.9956
Zr: 0.6597 0.6598 0.3403

Space-group type: I4mm
V, Å³ per cell: 62
Total energy, eV for the cell shown: -12.94

***

Record 2
Below is a geometry-optimized Zn2CdReGe structure, with properties calculated at the PBE level.

Cell lengths 4.6413, 5.1421, 4.6413 Å; angles 90.00, 90.00, 90.00 degrees
Site moments in Bohr magnetons follow the coordinates.
Fractional coordinates of all 5 atoms:
Re: 0.5000 0.5000 0.5000  2.95
Zn: 0.0000 0.0000 0.5000  -0.06
Zn: 0.5000 0.0000 0.0000  -0.03
Ge: 0.0000 0.0000 0.0000  0.06
Cd: 0.0000 0.5000 0.0000  -0.04

Space-group type: P4/mmm
V, Å³ per cell: 111
Total energy, eV for the cell shown: -13.69

***

Record 3
Below is a geometry-optimized KLiLa2 structure, with properties calculated at the PBE level.

Cell lengths 7.1582, 7.1582, 7.1582 Å; angles 150.02, 125.10, 63.82 degrees
Fractional coordinates of all 4 atoms:
Li: 0.4922 0.4922 0.0000
La: 0.2611 0.7611 0.5000
La: 0.0218 0.0218 0.0000
K: 0.7250 0.2250 0.5000

Space-group type: Imm2
V, Å³ per cell: 148
E above lowest polymorph, meV/atom: 207

***

Record 4
Below is a geometry-optimized Ce3HoOs3 structure, with properties calculated at the PBE level.

Cell lengths 7.2195, 7.2195, 6.7269 Å; angles 76.67, 76.67, 81.38 degrees
Fractional coordinates of all 14 atoms:
Os: 0.9879 0.4848 0.7315
Os: 0.0559 0.0559 0.7729
Os: 0.4848 0.9879 0.7315
Os: 0.0121 0.5152 0.2685
Os: 0.5152 0.0121 0.2685
Os: 0.9441 0.9441 0.2271
Ce: 0.1902 0.8098 0.5000
Ce: 0.6967 0.6967 0.5111
Ce: 0.2685 0.7315 0.0000
Ce: 0.3033 0.3033 0.4889
Ce: 0.8098 0.1902 0.5000
Ce: 0.7315 0.2685 0.0000
Ho: 0.2208 0.2208 0.0396
Ho: 0.7792 0.7792 0.9604

Space-group type: C2/m
V, Å³ per cell: 330
Total energy, eV for the cell shown: -114.26

***

Record 5
Below is a geometry-optimized TbEr2Mg structure, with properties calculated at the PBE level.

Cell lengths 5.4710, 5.4710, 5.4710 Å; angles 60.00, 60.00, 60.00 degrees
Fractional coordinates of all 4 atoms:
Tb: 0.0000 0.0000 0.0000
Er: 0.7500 0.7500 0.7500
Er: 0.2500 0.2500 0.2500
Mg: 0.5000 0.5000 0.5000

Space-group type: Fm-3m
V, Å³ per cell: 116
E above lowest polymorph, meV/atom: 102

***

Record 6
Below is a geometry-optimized Th2ZrAs3Rh4 structure, with properties calculated at the PBE level.

Cell lengths 4.1555, 4.1555, 11.1187 Å; angles 90.00, 90.00, 90.00 degrees
Fractional coordinates of all 10 atoms:
As: 0.0000 0.0000 0.5000
As: 0.5000 0.0000 0.8671
As: 0.0000 0.5000 0.1329
Rh: 0.0000 0.5000 0.3524
Rh: 0.5000 0.0000 0.6476
Rh: 0.5000 0.5000 0.0000
Rh: 0.0000 0.0000 0.0000
Zr: 0.5000 0.5000 0.5000
Th: 0.5000 0.0000 0.2261
Th: 0.0000 0.5000 0.7739

Space-group type: P-4m2
V, Å³ per cell: 192
Total energy, eV for the cell shown: -76.37

***

Record 7
Below is a geometry-optimized Li2TlBr structure, with properties calculated at the PBE level.

Cell lengths 8.3479, 8.3479, 3.5884 Å; angles 77.58, 77.58, 23.04 degrees
Fractional coordinates of all 4 atoms:
Br: 0.7029 0.7029 0.7967
Li: 0.0756 0.0756 0.9244
Li: 0.2771 0.2771 0.2228
Tl: 0.4444 0.4444 0.5560

Space-group type: Imm2
V, Å³ per cell: 96
E above lowest polymorph, meV/atom: 71

***

Record 8
Below is a geometry-optimized BaHgAu2 structure, with properties calculated at the PBE level.

Cell lengths 5.2938, 5.2938, 10.4785 Å; angles 75.37, 75.37, 90.00 degrees
Fractional coordinates of all 8 atoms:
Ba: 0.5000 0.5000 0.0000
Ba: 0.2500 0.7500 0.5000
Au: 0.8750 0.1257 0.7500
Au: 0.8743 0.6250 0.2500
Au: 0.3750 0.1243 0.7500
Au: 0.8757 0.1250 0.2500
Hg: 0.0000 0.0000 0.0000
Hg: 0.7500 0.2500 0.5000

Space-group type: I4_1/amd
V, Å³ per cell: 274
Total energy, eV for the cell shown: -20.51

***

Number 1: total magnetic moment 0.00 Bohr magnetons per cell. Number 2: total magnetic moment 3.23 Bohr magnetons per cell. Number 3: total magnetic moment 0.01 Bohr magnetons per cell. Number 4: total magnetic moment 0.00 Bohr magnetons per cell. Number 5: total magnetic moment 0.00 Bohr magnetons per cell. Number 6: total magnetic moment 0.00 Bohr magnetons per cell. Number 7: total magnetic moment 0.00 Bohr magnetons per cell. Number 8: total magnetic moment 0.00 Bohr magnetons per cell.